(1)
DFT (PBE) results for a relaxed Ba3HfAs crystal.

```
Ba3HfAs
1.0
6.3153 0.0000 0.0000
0.0000 6.3153 0.0000
0.0000 0.0000 6.3153
Ba Hf As
3 1 1
direct
0.0000 0.0000 0.5000
0.0000 0.5000 0.0000
0.5000 0.0000 0.0000
0.5000 0.5000 0.5000
0.0000 0.0000 0.0000
```

Calculated values
Its space group is Pm-3m, No. 221. As for the energy above the most stable polymorph in this dataset: 0.0 meV per atom. For the total magnetization, the calculation gives 4.887 Bohr magnetons per cell. Its total energy is -18.94 eV/cell. The volume is 50.37 Å³/atom.

---

(2)
DFT (PBE) results for a relaxed PrNiC crystal.

```
PrNiC
1.0
3.6010 0.0000 0.0000
-1.8005 3.1186 0.0000
0.0000 0.0000 4.0173
Pr Ni C
1 1 1
direct
0.0000 0.0000 0.0000
0.6667 0.3333 0.5000
0.3333 0.6667 0.5000
```

Calculated values
Its space group is P-6m2, No. 187. As for the energy above the most stable polymorph in this dataset: 159.9 meV per atom. For the total magnetization, the calculation gives 0.000 Bohr magnetons per cell. Its total energy is -19.67 eV/cell. The volume is 15.04 Å³/atom.